(1)
First-principles (GGA-PBE) data for an optimized crystal structure of AcPm3Pr2Se6, as listed in Alexandria via LeMat-Bulk.

Cell: 7.3514 12.8020 7.4187 Å, 90.00 109.43 90.00°
Space group C2/m (No. 12)
Symmetry-distinct sites (fractional):
Ac: 0.0000 0.0000 0.0000
Pm: 0.0000 0.1652 0.5000
Pm: 0.0000 0.5000 0.5000
Pr: 0.0000 0.3322 0.0000
Se: 0.2433 0.3308 0.7391
Se: 0.2466 0.5000 0.2578

For the total DFT energy (no corrections), the calculation gives -141.81 eV/cell. The raw formation energy is -1.84 eV/atom. The spin magnetization comes out at 0.000 μB per formula unit.



(2)
First-principles (GGA-PBE) data for an optimized crystal structure of MgSc2, as listed in Alexandria via LeMat-Bulk.

Cell: 7.4034 7.4034 4.7180 Å, 90.00 90.00 120.00°
Space group P-62m (No. 189)
Symmetry-distinct sites (fractional):
Mg: 0.0000 0.0000 0.0000
Mg: 0.3333 0.6667 0.5000
Sc: 0.0000 0.2424 0.5000
Sc: 0.0000 0.5761 0.0000

For the total DFT energy (no corrections), the calculation gives -40.90 eV/cell. The spin magnetization comes out at 0.213 μB per formula unit. The value obtained for the formation energy from the elements is 0.21 eV/atom.



- What is the total DFT energy (no corrections) in the second record?
  -40.90 eV/cell



What did the first record say?
First-principles (GGA-PBE) data for an optimized crystal structure of AcPm3Pr2Se6, as listed in Alexandria via LeMat-Bulk.

Cell: 7.3514 12.8020 7.4187 Å, 90.00 109.43 90.00°
Space group C2/m (No. 12)
Symmetry-distinct sites (fractional):
Ac: 0.0000 0.0000 0.0000
Pm: 0.0000 0.1652 0.5000
Pm: 0.0000 0.5000 0.5000
Pr: 0.0000 0.3322 0.0000
Se: 0.2433 0.3308 0.7391
Se: 0.2466 0.5000 0.2578

For the total DFT energy (no corrections), the calculation gives -141.81 eV/cell. The raw formation energy is -1.84 eV/atom. The spin magnetization comes out at 0.000 μB per formula unit.



- The lowest total DFT energy (no corrections) belongs to which entry?
  AcPm3Pr2Se6



- Among the records above, which one has the highest spin magnetization?
  MgSc2